# Tb2Sm3Er8

Crystalline Tb2Sm3Er8 at its relaxed geometry (PBE, Alexandria via LeMat-Bulk).

It has space group C2/m (No. 12), with a = 14.6208 Å, b = 9.1082 Å, c = 6.8666 Å, α = 90.00°, β = 108.79° and γ = 90.00°. The asymmetric unit holds Tb at (0.2159, 0.0000, 0.4230), Sm at (0.0000, 0.0000, 0.0000), Sm at (0.0000, 0.1755, 0.5000), Er at (0.0831, 0.5000, 0.7312), Er at (0.1183, 0.3193, 0.1770) and Er at (0.1921, 0.0000, 0.8965).

The value obtained for the formation enthalpy at 0 K is 23 kJ/mol of atoms.